[1]
Entry from the Alexandria database: crystalline Re5Pt at its relaxed geometry (PBE).

Results
**Energy**: -11.453 eV per atom
**Total moment**: 0.00 μB per formula unit

Geometry as CIF:
```
data_Re5Pt
_chemical_formula_sum 'Re10 Pt2'
_cell_length_a 4.4376
_cell_length_b 2.7844
_cell_length_c 14.5358
_cell_angle_alpha 90.00
_cell_angle_beta 90.00
_cell_angle_gamma 90.00
_space_group_name_H-M_alt 'A m m 2'
_space_group_IT_number 38
loop_
_space_group_symop_operation_xyz
'x,y,z'
'-x,-y,z'
'-x,y,z'
'x,-y,z'
'x,y+1/2,z+1/2'
'-x,-y+1/2,z+1/2'
'-x,y+1/2,z+1/2'
'x,-y+1/2,z+1/2'
loop_
_atom_site_label
_atom_site_type_symbol
_atom_site_fract_x
_atom_site_fract_y
_atom_site_fract_z
Re1 Re 0.0000 0.0000 0.0000
Re2 Re 0.0000 0.0000 0.3312
Re3 Re 0.0000 0.0000 0.6664
Re4 Re 0.5000 0.0000 0.1095
Re5 Re 0.5000 0.0000 0.7741
Pt1 Pt 0.5000 0.0000 0.4448
```

=====

[2]
Entry from the Alexandria database: crystalline ReSiO3 at its relaxed geometry (PBE).

Results
**Total moment**: 0.00 μB per formula unit
**Formation energy from raw total energies**: -0.638 eV per atom

Geometry as CIF:
```
data_ReSiO3
_chemical_formula_sum 'Re1 Si1 O3'
_cell_length_a 3.8977
_cell_length_b 3.8977
_cell_length_c 3.8977
_cell_angle_alpha 90.00
_cell_angle_beta 90.00
_cell_angle_gamma 90.00
_space_group_name_H-M_alt 'P m -3 m'
_space_group_IT_number 221
_space_group_name_Hall '-P 4 2 3'
loop_
_atom_site_label
_atom_site_type_symbol
_atom_site_fract_x
_atom_site_fract_y
_atom_site_fract_z
Re1 Re 0.0000 0.0000 0.0000
Si1 Si 0.5000 0.5000 0.5000
O1 O 0.0000 0.0000 0.5000
```

=====

[3]
Entry from the Alexandria database: crystalline Tl4CdIn2Bi2 at its relaxed geometry (PBE).

Results
**Energy**: -2.594 eV per atom
**Total moment**: 0.00 μB per formula unit

Geometry as CIF:
```
data_Tl4CdIn2Bi2
_chemical_formula_sum 'Tl4 Cd1 In2 Bi2'
_cell_length_a 6.4438
_cell_length_b 6.7735
_cell_length_c 7.0476
_cell_angle_alpha 77.09
_cell_angle_beta 74.60
_cell_angle_gamma 76.06
_space_group_name_H-M_alt 'P -1'
_space_group_IT_number 2
loop_
_space_group_symop_operation_xyz
'x,y,z'
'-x,-y,-z'
loop_
_atom_site_label
_atom_site_type_symbol
_atom_site_fract_x
_atom_site_fract_y
_atom_site_fract_z
Tl1 Tl 0.1778 0.1931 0.3658
Tl2 Tl 0.2882 0.0912 0.8386
Cd1 Cd 0.0000 0.5000 0.0000
In1 In 0.3586 0.6603 0.6743
Bi1 Bi 0.2551 0.7128 0.2439
```

=====

[4]
Entry from the Alexandria database: crystalline Cs2MgHg10 at its relaxed geometry (PBE).

Results
**Energy**: -0.626 eV per atom
**Total moment**: 0.00 μB per formula unit

Geometry as CIF:
```
data_Cs2MgHg10
_chemical_formula_sum 'Cs4 Mg2 Hg20'
_cell_length_a 11.1913
_cell_length_b 11.6932
_cell_length_c 7.1905
_cell_angle_alpha 90.00
_cell_angle_beta 90.00
_cell_angle_gamma 90.00
_space_group_name_H-M_alt 'P b a m'
_space_group_IT_number 55
loop_
_space_group_symop_operation_xyz
'x,y,z'
'-x,-y,-z'
'-x,-y,z'
'x,y,-z'
'x+1/2,-y+1/2,-z'
'-x+1/2,y+1/2,z'
'-x+1/2,y+1/2,-z'
'x+1/2,-y+1/2,z'
loop_
_atom_site_label
_atom_site_type_symbol
_atom_site_fract_x
_atom_site_fract_y
_atom_site_fract_z
Cs1 Cs 0.2205 0.0588 0.0000
Mg1 Mg 0.0000 0.5000 0.5000
Hg1 Hg 0.0390 0.1282 0.5000
Hg2 Hg 0.0420 0.3356 0.2034
Hg3 Hg 0.1825 0.6845 0.5000
Hg4 Hg 0.2469 0.9275 0.5000
```

=====

> Number 1 is which compound?

Re5Pt